MnBi2O: optimized geometry, GGA+U.

Structure (extended XYZ):
```
8
Lattice="5.620 0.000 0.000 0.000 5.620 0.000 2.810 2.810 7.129" Properties=species:S:1:pos:R:3 pbc="T T T"
Mn 0.000 0.000 0.000
Mn 5.620 2.810 3.565
Bi 3.578 1.405 1.782
Bi 2.042 4.215 1.782
Bi 4.215 4.852 5.347
Bi 7.025 6.388 5.347
O 2.810 2.810 0.000
O 2.810 5.620 3.565
```

Its space group is I-42d, No. 122. The density of states at the Fermi level comes out at 1.8 states/eV/f.u. For the total energy, the calculation gives -4.985 eV/atom. The total moment comes out at 4.85 μB per formula unit.